[1]
Computed, not measured: Zr2BeAu at its PBEsol-relaxed geometry at the SCAN level of DFT.

It has space group Amm2 (No. 38), with a = 3.9881 Å, b = 3.3436 Å, c = 10.6717 Å, α = 90.00°, β = 90.00° and γ = 90.00°. The distinct sites, in fractional coordinates, are Zr at (0.0000, 0.0000, 0.0000), Zr at (0.5000, 0.0000, 0.3219), Be at (0.5000, 0.0000, 0.5812) and Au at (0.0000, 0.0000, 0.7163).

For the energy of formation from the pure elements, the calculation gives -1.84 eV per formula unit. For the calculated volume, the calculation gives 142 Å³/cell.

---

[2]
Computed, not measured: CsLaO2 at its PBEsol-relaxed geometry at the SCAN level of DFT.

It has space group I-42d (No. 122), with a = 6.5329 Å, b = 6.5329 Å, c = 9.5556 Å, α = 90.00°, β = 90.00° and γ = 90.00°. The distinct sites, in fractional coordinates, are Cs at (0.0000, 0.0000, 0.0000), La at (0.0000, 0.0000, 0.5000) and O at (0.1566, 0.7500, 0.6250).

For the uncorrected formation energy, the calculation gives -2.746 eV per atom. For the calculated volume, the calculation gives 408 Å³/cell.

---

[3]
Computed, not measured: HfGeP2S at its PBEsol-relaxed geometry at the SCAN level of DFT.

It has space group P4/mmm (No. 123), with a = 4.5191 Å, b = 4.5191 Å, c = 4.6185 Å, α = 90.00°, β = 90.00° and γ = 90.00°. The distinct sites, in fractional coordinates, are Hf at (0.0000, 0.0000, 0.0000), Ge at (0.5000, 0.5000, 0.5000), P at (0.0000, 0.5000, 0.5000) and S at (0.5000, 0.5000, 0.0000).

For the uncorrected formation energy, the calculation gives 0.568 eV per atom. For the calculated volume, the calculation gives 94 Å³/cell.

---

For each record above, in turn, the calculated final energy values are -34.1874; -26.0907; -21.8693 eV per atom.